{"formula": "ZrHPdRh2", "functional": "GGA-PBE", "state": "relaxed", "cell": [[3.9755, 0.0000, 0.0000], [0.0000, 3.9755, 0.0000], [0.0000, 0.0000, 4.1693]], "species": ["Zr", "H", "Pd", "Rh", "Rh"], "fractional_positions": [[0.0000, 0.0000, 0.0000], [0.0000, 0.0000, 0.5000], [0.5000, 0.5000, 0.0000], [0.0000, 0.5000, 0.5000], [0.5000, 0.0000, 0.5000]], "dft_energy_ev_per_atom": -6.916, "m_tot_mub_per_cell": 0.0, "rho_g_cm3": 10.19, "e_above_lowest_polymorph_ev_per_fu": 0.29}


{"formula": "ZrHPdRh2", "functional": "GGA-PBE", "state": "relaxed", "cell": [[4.0599, 0.0000, 0.0000], [0.0000, 4.0599, 0.0000], [0.0000, 0.0000, 3.9756]], "species": ["Zr", "H", "Pd", "Rh", "Rh"], "fractional_positions": [[0.0000, 0.0000, 0.0000], [0.5000, 0.5000, 0.5000], [0.5000, 0.5000, 0.0000], [0.0000, 0.5000, 0.5000], [0.5000, 0.0000, 0.5000]], "dft_energy_ev_per_atom": -6.974, "m_tot_mub_per_cell": 0.0, "rho_g_cm3": 10.25, "e_above_lowest_polymorph_ev_per_fu": 0.00}


{"formula": "HPd2Ru", "functional": "GGA-PBE", "state": "relaxed", "cell": [[1.3585, 0.7843, 7.7468], [-1.3585, 0.7843, 7.7468], [0.0000, -1.5687, 7.7468]], "species": ["H", "Pd", "Pd", "Ru"], "fractional_positions": [[0.0000, 0.0000, 0.0000], [0.3883, 0.3883, 0.3883], [0.6117, 0.6117, 0.6117], [0.5000, 0.5000, 0.5000]], "dft_energy_ev_per_atom": -5.413, "m_tot_mub_per_cell": 0.0, "rho_g_cm3": 10.56, "e_above_lowest_polymorph_ev_per_fu": 0.00}


{"formula": "H2PdRu", "functional": "GGA-PBE", "state": "relaxed", "cell": [[1.4297, 0.8254, 5.1831], [-1.4297, 0.8254, 5.1831], [0.0000, -1.6509, 5.1831]], "species": ["H", "H", "Pd", "Ru"], "fractional_positions": [[0.1133, 0.1133, 0.1133], [0.8867, 0.8867, 0.8867], [0.0000, 0.0000, 0.0000], [0.5000, 0.5000, 0.5000]], "dft_energy_ev_per_atom": -5.151, "m_tot_mub_per_cell": 0.2, "rho_g_cm3": 9.48, "e_above_lowest_polymorph_ev_per_fu": 0.05}


{"formula": "HPdRu", "functional": "GGA-PBE", "state": "relaxed", "cell": [[8.3631, -1.3892, 0.0000], [8.3631, 1.3892, 0.0000], [-0.0259, 0.0000, 2.7895]], "species": ["H", "H", "Pd", "Pd", "Ru", "Ru"], "fractional_positions": [[0.0000, 0.0000, 0.0000], [0.7109, 0.7109, 0.3677], [0.1946, 0.1946, 0.8631], [0.5655, 0.5655, 0.3614], [0.4229, 0.4229, 0.8791], [0.8232, 0.8232, 0.3705]], "dft_energy_ev_per_atom": -5.871, "m_tot_mub_per_cell": 0.0, "rho_g_cm3": 10.68, "e_above_lowest_polymorph_ev_per_fu": 0.03}


{"formula": "H2PdRu", "functional": "GGA-PBE", "state": "relaxed", "cell": [[-2.1189, 2.1189, 4.1070], [2.1189, -2.1189, 4.1070], [2.1189, 2.1189, -4.1070]], "species": ["H", "H", "H", "H", "Pd", "Pd", "Ru", "Ru"], "fractional_positions": [[0.1154, 0.6250, 0.9904], [0.3750, 0.3654, 0.4904], [0.6346, 0.1250, 0.0096], [0.8750, 0.8846, 0.5096], [0.2500, 0.7500, 0.5000], [0.5000, 0.5000, 0.0000], [0.0000, 0.0000, 0.0000], [0.7500, 0.2500, 0.5000]], "dft_energy_ev_per_atom": -5.117, "m_tot_mub_per_cell": 2.0, "rho_g_cm3": 9.43, "e_above_lowest_polymorph_ev_per_fu": 0.19}


{"formula": "HPdRu", "functional": "GGA-PBE", "state": "relaxed", "cell": [[2.4451, -1.4137, 0.0000], [2.4451, 1.4137, 0.0000], [-1.6380, 0.0000, 9.4995]], "species": ["H", "H", "Pd", "Pd", "Ru", "Ru"], "fractional_positions": [[0.1442, 0.1442, 0.4307], [0.8558, 0.8558, 0.5693], [0.2166, 0.2166, 0.6511], [0.7834, 0.7834, 0.3489], [0.3674, 0.3674, 0.1035], [0.6326, 0.6326, 0.8965]], "dft_energy_ev_per_atom": -5.846, "m_tot_mub_per_cell": 0.0, "rho_g_cm3": 10.54, "e_above_lowest_polymorph_ev_per_fu": 0.11}


{"formula": "HPdRu", "functional": "GGA-PBE", "state": "relaxed", "cell": [[2.7998, 0.0000, 0.0000], [0.0000, 2.7998, 0.0000], [0.0000, 0.0000, 8.0707]], "species": ["H", "H", "Pd", "Pd", "Ru", "Ru"], "fractional_positions": [[0.0000, 0.0000, 0.0000], [0.5000, 0.5000, 0.2005], [0.0000, 0.0000, 0.2471], [0.5000, 0.5000, 0.5072], [0.0000, 0.0000, 0.7452], [0.5000, 0.5000, 0.9653]], "dft_energy_ev_per_atom": -5.879, "m_tot_mub_per_cell": 0.0, "rho_g_cm3": 10.94, "e_above_lowest_polymorph_ev_per_fu": 0.01}


{"formula": "HPd2Ru", "functional": "GGA-PBE", "state": "relaxed", "cell": [[0.0000, 3.0146, 3.0146], [3.0146, 0.0000, 3.0146], [3.0146, 3.0146, 0.0000]], "species": ["H", "Pd", "Pd", "Ru"], "fractional_positions": [[0.0000, 0.0000, 0.0000], [0.2500, 0.2500, 0.2500], [0.7500, 0.7500, 0.7500], [0.5000, 0.5000, 0.5000]], "dft_energy_ev_per_atom": -4.965, "m_tot_mub_per_cell": 2.9, "rho_g_cm3": 9.54, "e_above_lowest_polymorph_ev_per_fu": 1.79}


{"formula": "HPdRu", "functional": "GGA-PBE", "state": "relaxed", "cell": [[2.8053, 0.0000, 0.0000], [0.0000, 2.8216, 0.0000], [-0.0376, 0.0000, 8.2044]], "species": ["H", "H", "Pd", "Pd", "Ru", "Ru"], "fractional_positions": [[0.0000, 0.0000, 0.0000], [0.0098, 0.5000, 0.5795], [0.4998, 0.5000, 0.9693], [0.9961, 0.0000, 0.7124], [0.0031, 0.0000, 0.2288], [0.5060, 0.5000, 0.4300]], "dft_energy_ev_per_atom": -5.882, "m_tot_mub_per_cell": 0.0, "rho_g_cm3": 10.66, "e_above_lowest_polymorph_ev_per_fu": 0.00}


{"formula": "HPd2Ru", "functional": "GGA-PBE", "state": "relaxed", "cell": [[-3.0338, 3.0338, 2.6947], [3.0338, -3.0338, 2.6947], [3.0338, 3.0338, -2.6947]], "species": ["H", "H", "Pd", "Pd", "Pd", "Pd", "Ru", "Ru"], "fractional_positions": [[0.0000, 0.0000, 0.0000], [0.7500, 0.2500, 0.5000], [0.0211, 0.6250, 0.8961], [0.3750, 0.2711, 0.3961], [0.7289, 0.1250, 0.1039], [0.8750, 0.9789, 0.6039], [0.2500, 0.7500, 0.5000], [0.5000, 0.5000, 0.0000]], "dft_energy_ev_per_atom": -5.358, "m_tot_mub_per_cell": 2.0, "rho_g_cm3": 10.54, "e_above_lowest_polymorph_ev_per_fu": 0.22}


{"formula": "H2PdRu", "functional": "GGA-PBE", "state": "relaxed", "cell": [[1.4135, 0.8161, 5.1112], [-1.4135, 0.8161, 5.1112], [0.0000, -1.6322, 5.1112]], "species": ["H", "H", "Pd", "Ru"], "fractional_positions": [[0.0000, 0.0000, 0.0000], [0.2085, 0.2085, 0.2085], [0.4291, 0.4291, 0.4291], [0.6045, 0.6045, 0.6045]], "dft_energy_ev_per_atom": -5.164, "m_tot_mub_per_cell": 0.3, "rho_g_cm3": 9.83, "e_above_lowest_polymorph_ev_per_fu": 0.00}


{"formula": "H2PdRu", "functional": "GGA-PBE", "state": "relaxed", "cell": [[0.0000, 2.6362, 2.6362], [2.6362, 0.0000, 2.6362], [2.6362, 2.6362, 0.0000]], "species": ["H", "H", "Pd", "Ru"], "fractional_positions": [[0.2500, 0.2500, 0.2500], [0.7500, 0.7500, 0.7500], [0.0000, 0.0000, 0.0000], [0.5000, 0.5000, 0.5000]], "dft_energy_ev_per_atom": -4.606, "m_tot_mub_per_cell": 0.8, "rho_g_cm3": 9.49, "e_above_lowest_polymorph_ev_per_fu": 2.23}


{"formula": "H12Pd3Ru5", "functional": "GGA-PBE", "state": "relaxed", "cell": [[-5.4137, 5.4137, 5.4137], [5.4137, -5.4137, 5.4137], [5.4137, 5.4137, -5.4137]], "species": ["H", "H", "H", "H", "H", "H", "H", "H", "H", "H", "H", "H", "H", "H", "H", "H", "H", "H", "H", "H", "H", "H", "H", "H", "H", "H", "H", "H", "H", "H", "H", "H", "H", "H", "H", "H", "H", "H", "H", "H", "H", "H", "H", "H", "H", "H", "H", "H", "Pd", "Pd", "Pd", "Pd", "Pd", "Pd", "Pd", "Pd", "Pd", "Pd", "Pd", "Pd", "Ru", "Ru", "Ru", "Ru", "Ru", "Ru", "Ru", "Ru", "Ru", "Ru", "Ru", "Ru", "Ru", "Ru", "Ru", "Ru", "Ru", "Ru", "Ru", "Ru"], "fractional_positions": [[0.0486, 0.2214, 0.1235], [0.0486, 0.3271, 0.9250], [0.0750, 0.6235, 0.4021], [0.0750, 0.9514, 0.6729], [0.0979, 0.7214, 0.6729], [0.0979, 0.8765, 0.4250], [0.1235, 0.0486, 0.2214], [0.1235, 0.5750, 0.9021], [0.1729, 0.2214, 0.5979], [0.1729, 0.4514, 0.5750], [0.2214, 0.1235, 0.0486], [0.2214, 0.5979, 0.1729], [0.2786, 0.3271, 0.9021], [0.2786, 0.4514, 0.3765], [0.3271, 0.9021, 0.2786], [0.3271, 0.9250, 0.0486], [0.3765, 0.2786, 0.4514], [0.3765, 0.5979, 0.9250], [0.4021, 0.0750, 0.6235], [0.4021, 0.8271, 0.7786], [0.4250, 0.0979, 0.8765], [0.4250, 0.8271, 0.5486], [0.4514, 0.3765, 0.2786], [0.4514, 0.5750, 0.1729], [0.5486, 0.4250, 0.8271], [0.5486, 0.6235, 0.7214], [0.5750, 0.1729, 0.4514], [0.5750, 0.9021, 0.1235], [0.5979, 0.1729, 0.2214], [0.5979, 0.9250, 0.3765], [0.6235, 0.4021, 0.0750], [0.6235, 0.7214, 0.5486], [0.6729, 0.0750, 0.9514], [0.6729, 0.0979, 0.7214], [0.7214, 0.5486, 0.6235], [0.7214, 0.6729, 0.0979], [0.7786, 0.4021, 0.8271], [0.7786, 0.8765, 0.9514], [0.8271, 0.5486, 0.4250], [0.8271, 0.7786, 0.4021], [0.8765, 0.4250, 0.0979], [0.8765, 0.9514, 0.7786], [0.9021, 0.1235, 0.5750], [0.9021, 0.2786, 0.3271], [0.9250, 0.0486, 0.3271], [0.9250, 0.3765, 0.5979], [0.9514, 0.6729, 0.0750], [0.9514, 0.7786, 0.8765], [0.1250, 0.2500, 0.3750], [0.1250, 0.3750, 0.7500], [0.2500, 0.3750, 0.1250], [0.2500, 0.8750, 0.6250], [0.3750, 0.1250, 0.2500], [0.3750, 0.7500, 0.1250], [0.6250, 0.2500, 0.8750], [0.6250, 0.8750, 0.7500], [0.7500, 0.1250, 0.3750], [0.7500, 0.6250, 0.8750], [0.8750, 0.6250, 0.2500], [0.8750, 0.7500, 0.6250], [0.0000, 0.0000, 0.0000], [0.0000, 0.0000, 0.5000], [0.0000, 0.5000, 0.0000], [0.0000, 0.5000, 0.5000], [0.1250, 0.7500, 0.8750], [0.1250, 0.8750, 0.2500], [0.2500, 0.1250, 0.8750], [0.2500, 0.6250, 0.3750], [0.3750, 0.2500, 0.6250], [0.3750, 0.6250, 0.7500], [0.5000, 0.0000, 0.0000], [0.5000, 0.0000, 0.5000], [0.5000, 0.5000, 0.0000], [0.5000, 0.5000, 0.5000], [0.6250, 0.3750, 0.2500], [0.6250, 0.7500, 0.3750], [0.7500, 0.3750, 0.6250], [0.7500, 0.8750, 0.1250], [0.8750, 0.1250, 0.7500], [0.8750, 0.2500, 0.1250]], "dft_energy_ev_per_atom": -4.851, "m_tot_mub_per_cell": 0.0, "rho_g_cm3": 8.76}


{"formula": "HPdRu", "functional": "GGA-PBE", "state": "relaxed", "cell": [[2.7974, 0.0000, 0.0000], [0.0000, 2.7991, 0.0000], [-0.0327, 0.0000, 8.4449]], "species": ["H", "H", "Pd", "Pd", "Ru", "Ru"], "fractional_positions": [[0.0000, 0.0000, 0.0000], [0.0097, 0.0000, 0.7216], [0.0025, 0.5000, 0.8597], [0.5022, 0.0000, 0.1406], [0.0049, 0.5000, 0.3800], [0.5074, 0.0000, 0.5763]], "dft_energy_ev_per_atom": -5.879, "m_tot_mub_per_cell": 0.0, "rho_g_cm3": 10.47, "e_above_lowest_polymorph_ev_per_fu": 0.01}


{"formula": "HPdRu", "functional": "GGA-PBE", "state": "relaxed", "cell": [[2.8046, 0.0000, 0.0000], [0.0000, 2.8046, 0.0000], [0.0000, 0.0000, 8.1258]], "species": ["H", "H", "Pd", "Pd", "Ru", "Ru"], "fractional_positions": [[0.0000, 0.0000, 0.0000], [0.0000, 0.0000, 0.4866], [0.0000, 0.0000, 0.7070], [0.5000, 0.5000, 0.9648], [0.0000, 0.0000, 0.2263], [0.5000, 0.5000, 0.4382]], "dft_energy_ev_per_atom": -5.867, "m_tot_mub_per_cell": 0.0, "rho_g_cm3": 10.83, "e_above_lowest_polymorph_ev_per_fu": 0.05}


{"formula": "HPdRu", "functional": "GGA-PBE", "state": "relaxed", "cell": [[2.7823, 0.0000, 0.0000], [0.0000, 2.7923, 0.0000], [0.0000, 0.0000, 8.3318]], "species": ["H", "H", "Pd", "Pd", "Ru", "Ru"], "fractional_positions": [[0.0000, 0.0000, 0.0000], [0.0000, 0.5000, 0.3586], [0.0000, 0.5000, 0.1376], [0.5000, 0.0000, 0.8542], [0.0000, 0.5000, 0.6156], [0.5000, 0.0000, 0.4049]], "dft_energy_ev_per_atom": -5.870, "m_tot_mub_per_cell": 0.0, "rho_g_cm3": 10.70, "e_above_lowest_polymorph_ev_per_fu": 0.04}


{"formula": "ScHPd2Ru", "functional": "GGA-PBE", "state": "relaxed", "cell": [[4.0209, 0.0000, 0.0000], [0.0000, 4.0209, 0.0000], [0.0000, 0.0000, 4.0430]], "species": ["Sc", "H", "Pd", "Pd", "Ru"], "fractional_positions": [[0.0000, 0.0000, 0.0000], [0.5000, 0.5000, 0.5000], [0.0000, 0.5000, 0.5000], [0.5000, 0.0000, 0.5000], [0.5000, 0.5000, 0.0000]], "dft_energy_ev_per_atom": -6.287, "m_tot_mub_per_cell": 0.0, "rho_g_cm3": 9.14}


{"formula": "Sc2HPdRu", "functional": "GGA-PBE", "state": "relaxed", "cell": [[4.5188, 0.0000, 0.0000], [0.0000, 4.5188, 0.0000], [0.0000, 0.0000, 3.5281]], "species": ["Sc", "Sc", "H", "Pd", "Ru"], "fractional_positions": [[0.0000, 0.5000, 0.0000], [0.5000, 0.0000, 0.0000], [0.0000, 0.0000, 0.0000], [0.5000, 0.5000, 0.5000], [0.0000, 0.0000, 0.5000]], "dft_energy_ev_per_atom": -6.778, "m_tot_mub_per_cell": 0.0, "rho_g_cm3": 6.88}


{"formula": "ScHPdRu2", "functional": "GGA-PBE", "state": "relaxed", "cell": [[3.9668, 0.0000, 0.0000], [0.0000, 3.9668, 0.0000], [0.0000, 0.0000, 4.0615]], "species": ["Sc", "H", "Pd", "Ru", "Ru"], "fractional_positions": [[0.0000, 0.0000, 0.0000], [0.5000, 0.5000, 0.5000], [0.5000, 0.5000, 0.0000], [0.0000, 0.5000, 0.5000], [0.5000, 0.0000, 0.5000]], "dft_energy_ev_per_atom": -6.936, "m_tot_mub_per_cell": 0.0, "rho_g_cm3": 9.21, "e_above_lowest_polymorph_ev_per_fu": 0.12}